Entry from the Alexandria database: crystalline NdMgZnGa at its relaxed geometry (PBE).

The structure in CIF format:
```
data_NdMgZnGa
_cell_length_a 7.0319
_cell_length_b 7.0319
_cell_length_c 7.0319
_cell_angle_alpha 90.00
_cell_angle_beta 90.00
_cell_angle_gamma 90.00
_space_group_name_H-M_alt 'F -4 3 m'
_space_group_IT_number 216
_space_group_name_Hall 'F -4 2 3'
loop_
_atom_site_label
_atom_site_fract_x
_atom_site_fract_y
_atom_site_fract_z
Nd1 0.0000 0.0000 0.0000
Mg1 0.0000 0.0000 0.5000
Zn1 0.2500 0.2500 0.7500
Ga1 0.2500 0.2500 0.2500
```

The formation enthalpy at 0 K comes out at -149 kJ/mol of formula units. For the uncorrected energy, the calculation gives -3.051 eV/atom. For the total moment, the calculation gives 0.0 μB per formula unit. The density of states at the Fermi level comes out at 0.513 states/eV/atom. As for the density: 5.80 g/cm³.